Arrangement 1

# TiS2N2

TiS2N2 at its PBEsol-relaxed geometry (meta-GGA SCAN, Alexandria).

a = 3.7501 Å, b = 3.7501 Å, c = 5.2075 Å
α = 90.00°, β = 90.00°, γ = 90.00°
Space group P4/mmm (No. 123)
Symmetry-distinct sites (fractional):
Ti 0.0000 0.0000 0.0000 x1
S 0.0000 0.0000 0.5000 x1
S 0.5000 0.5000 0.5000 x1
N 0.0000 0.5000 0.0000 x2


Arrangement 2

# TiS2N2

TiS2N2 at its PBEsol-relaxed geometry (meta-GGA SCAN, Alexandria).

a = 4.6733 Å, b = 4.6733 Å, c = 3.8378 Å
α = 90.00°, β = 90.00°, γ = 90.00°
Space group P4/mmm (No. 123)
Symmetry-distinct sites (fractional):
Ti 0.0000 0.0000 0.0000 x1
S 0.0000 0.5000 0.0000 x2
N 0.0000 0.0000 0.5000 x1
N 0.5000 0.5000 0.5000 x1


It comes down to arrangement 1, which is 267 meV/atom more stable than the next structure.


Arrangement 1

# Zn3SN

Zn3SN at its PBEsol-relaxed geometry (meta-GGA SCAN, Alexandria).

a = 4.4638 Å, b = 4.4638 Å, c = 4.4638 Å
α = 90.00°, β = 90.00°, γ = 90.00°
Space group Pm-3m (No. 221)
Symmetry-distinct sites (fractional):
Zn 0.0000 0.0000 0.5000 x3
S 0.0000 0.0000 0.0000 x1
N 0.5000 0.5000 0.5000 x1


Arrangement 2

# Zn3SN

Zn3SN at its PBEsol-relaxed geometry (meta-GGA SCAN, Alexandria).

a = 4.1126 Å, b = 4.1126 Å, c = 4.1126 Å
α = 90.00°, β = 90.00°, γ = 90.00°
Space group Pm-3m (No. 221)
Symmetry-distinct sites (fractional):
Zn 0.0000 0.0000 0.5000 x3
S 0.5000 0.5000 0.5000 x1
N 0.0000 0.0000 0.0000 x1


It comes down to arrangement 2, which is 1221 meV/atom more stable than the next structure.